! TaTcPb2 (PBE, relaxed); values from VASP
! Calculated formation energy in eV per atom: 0.96
&SYSTEM
  ibrav = 0, nat = 8, ntyp = 3
/
ATOMIC_SPECIES
Pb 207.20 Pb.upf
Tc 98.00 Tc.upf
Ta 180.95 Ta.upf
CELL_PARAMETERS angstrom
4.1782 0.0000 0.0000
0.0000 4.1782 0.0000
2.0891 2.0891 10.2793
ATOMIC_POSITIONS angstrom
Pb 3.1222 1.0446 2.5698
Pb 1.0560 3.1337 2.5698
Pb 3.1337 3.1451 7.7095
Pb 5.2228 5.2113 7.7095
Tc 2.0891 2.0891 0.0000
Tc 2.0891 4.1782 5.1397
Ta 0.0000 0.0000 0.0000
Ta 4.1782 2.0891 5.1397